# CeLu2Se, optimized geometry, DFT PBE-GGA
data_CeLu2Se
_space_group_name_H-M_alt 'P 4/m m m'
_space_group_IT_number 123
_space_group_name_Hall '-P 4 2'
_cell_length_a 3.527
_cell_length_b 3.527
_cell_length_c 8.332
_cell_angle_alpha 90.00
_cell_angle_beta 90.00
_cell_angle_gamma 90.00
loop_
_atom_site_label
_atom_site_type_symbol
_atom_site_fract_x
_atom_site_fract_y
_atom_site_fract_z
_atom_site_occupancy
Ce1 Ce 0.000 0.000 0.000 1
Lu1 Lu 0.500 0.500 0.290 1
Se1 Se 0.000 0.000 0.500 1
# Theoretical density   9.1 g cm⁻³
# Formation energy without anion corrections   -0.620 eV/atom